# 1
A geometry-optimized K2BaTcO4 structure. Source: Alexandria via LeMat-Bulk, functional PBE.

Cell lengths 5.306, 5.306, 7.104 Å; angles 109.21, 109.21, 96.82 degrees
Sites, in units of the cell vectors:
O1 0.786 0.404 0.190
O2 0.578 0.578 0.782
O3 0.205 0.205 0.782
O4 0.404 0.786 0.190
Ba1 0.005 0.005 0.010
K1 0.256 0.756 0.513
K2 0.756 0.256 0.513
Tc1 0.510 0.510 0.020

Properties
raw formation energy: -12.64 eV per formula unit
SG: Fmm2
E_tot: -5.87 eV/atom
ρ: 3.6 Mg/m³
total moment: 1.0 μB/cell

# 2
A geometry-optimized K2BaTc2O7 structure. Source: Alexandria via LeMat-Bulk, functional PBE.

Cell lengths 3.918, 5.626, 10.032 Å; angles 106.28, 101.26, 90.00 degrees
Sites, in units of the cell vectors:
Tc1 0.406 0.473 0.812
Tc2 0.594 0.662 0.188
O1 0.500 0.406 0.000
O2 0.585 0.982 0.170
O3 0.689 0.672 0.377
O4 0.311 0.294 0.623
O5 0.415 0.813 0.830
O6 0.909 0.462 0.818
O7 0.091 0.644 0.182
K1 0.280 0.796 0.560
K2 0.720 0.235 0.440
Ba1 0.000 0.061 0.000

Properties
raw formation energy: -20.20 eV per formula unit
SG: Imm2
E_tot: -6.65 eV/atom
ρ: 4.2 Mg/m³
total moment: 1.8 μB/cell

# 3
A geometry-optimized K3BaTc2O8 structure. Source: Alexandria via LeMat-Bulk, functional PBE.

Cell lengths 6.423, 6.423, 8.093 Å; angles 90.00, 90.00, 120.00 degrees
Sites, in units of the cell vectors:
O1 0.818 0.637 0.705
O2 0.818 0.182 0.705
O3 0.363 0.182 0.705
O4 0.182 0.818 0.295
O5 0.637 0.818 0.295
O6 0.182 0.363 0.295
O7 0.333 0.667 0.987
O8 0.667 0.333 0.013
Ba1 0.000 0.000 0.500
K1 0.667 0.333 0.325
K2 0.000 0.000 0.000
K3 0.333 0.667 0.675
Tc1 0.333 0.667 0.206
Tc2 0.667 0.333 0.794

Properties
raw formation energy: -24.62 eV per formula unit
SG: P-3m1
E_tot: -6.45 eV/atom
ρ: 3.3 Mg/m³
total moment: 3.0 μB/cell

# 4
A geometry-optimized K3BaTc2O9 structure. Source: Alexandria via LeMat-Bulk, functional PBE.

Cell lengths 5.818, 5.818, 8.172 Å; angles 90.00, 90.00, 120.00 degrees
Sites, in units of the cell vectors:
O1 0.181 0.362 0.270
O2 0.181 0.819 0.270
O3 0.638 0.819 0.270
O4 0.819 0.181 0.730
O5 0.500 0.500 0.000
O6 0.362 0.181 0.730
O7 0.819 0.638 0.730
O8 0.000 0.500 0.000
O9 0.500 0.000 0.000
K1 0.000 0.000 0.000
K2 0.333 0.667 0.738
K3 0.667 0.333 0.262
Ba1 0.000 0.000 0.500
Tc1 0.333 0.667 0.149
Tc2 0.667 0.333 0.851

Properties
raw formation energy: -25.03 eV per formula unit
SG: P-3m1
E_tot: -6.37 eV/atom
ρ: 4.1 Mg/m³
total moment: 0.0 μB/cell

# 5
A geometry-optimized K3Ba3TcO8 structure. Source: Alexandria via LeMat-Bulk, functional PBE.

Cell lengths 7.574, 7.574, 7.670 Å; angles 119.59, 90.00, 120.00 degrees
Sites, in units of the cell vectors:
K1 0.000 0.500 0.000
K2 0.000 0.000 0.000
K3 0.500 0.500 0.000
Tc1 0.000 0.000 0.500
O1 0.185 0.005 0.326
O2 0.180 0.359 0.674
O3 0.260 0.520 0.280
O4 0.815 0.995 0.674
O5 0.820 0.005 0.326
O6 0.820 0.641 0.326
O7 0.740 0.480 0.720
O8 0.180 0.995 0.674
Ba1 0.500 0.000 0.500
Ba2 0.500 0.500 0.500
Ba3 0.000 0.500 0.500

Properties
raw formation energy: -28.42 eV per formula unit
SG: R-3m
E_tot: -5.83 eV/atom
ρ: 4.0 Mg/m³
total moment: 0.0 μB/cell

# 6
A geometry-optimized KBaTeO2 structure. Source: Alexandria via LeMat-Bulk, functional PBE.

Cell lengths 4.587, 6.263, 4.587 Å; angles 90.00, 90.00, 90.00 degrees
Sites, in units of the cell vectors:
O1 0.000 0.000 0.500
O2 0.500 0.000 0.000
Te1 0.000 0.000 0.000
K1 0.500 0.500 0.500
Ba1 0.000 0.500 0.000

Properties
raw formation energy: -0.76 eV per formula unit
SG: P4/mmm
E_tot: -3.37 eV/atom
ρ: 4.2 Mg/m³
total moment: 0.0 μB/cell

# 7
A geometry-optimized K2BaTe2O6 structure. Source: Alexandria via LeMat-Bulk, functional PBE.

Cell lengths 6.427, 5.907, 7.903 Å; angles 110.64, 90.00, 122.95 degrees
Sites, in units of the cell vectors:
O1 0.791 0.582 0.500
O2 0.209 0.418 0.500
O3 0.724 0.908 0.212
O4 0.184 0.908 0.212
O5 0.276 0.092 0.788
O6 0.816 0.092 0.788
Te1 0.083 0.166 0.245
Te2 0.917 0.834 0.755
K1 0.695 0.389 0.121
K2 0.305 0.611 0.879
Ba1 0.500 0.000 0.500

Properties
raw formation energy: -18.11 eV per formula unit
SG: C2/m
E_tot: -5.30 eV/atom
ρ: 4.1 Mg/m³
total moment: 0.0 μB/cell

# 8
A geometry-optimized K4BaTe3O12 structure. Source: Alexandria via LeMat-Bulk, functional PBE.

Cell lengths 7.351, 7.351, 7.351 Å; angles 109.47, 109.47, 109.47 degrees
Sites, in units of the cell vectors:
Te1 0.500 0.000 0.500
Te2 0.000 0.500 0.500
Te3 0.500 0.500 0.000
O1 0.716 0.000 0.716
O2 0.750 0.500 0.250
O3 0.000 0.716 0.716
O4 0.750 0.250 0.500
O5 0.500 0.250 0.750
O6 0.716 0.716 0.000
O7 0.284 0.000 0.284
O8 0.250 0.750 0.500
O9 0.000 0.284 0.284
O10 0.500 0.750 0.250
O11 0.250 0.500 0.750
O12 0.284 0.284 0.000
K1 0.500 0.000 0.000
K2 0.500 0.500 0.500
K3 0.000 0.500 0.000
K4 0.000 0.000 0.500
Ba1 0.000 0.000 0.000

Properties
raw formation energy: -26.97 eV per formula unit
SG: Im-3m
E_tot: -5.11 eV/atom
ρ: 4.7 Mg/m³
total moment: 0.0 μB/cell

# 9
A geometry-optimized KBa3Te2O9 structure. Source: Alexandria via LeMat-Bulk, functional PBE.

Cell lengths 6.090, 6.090, 7.719 Å; angles 90.00, 90.00, 120.00 degrees
Sites, in units of the cell vectors:
O1 0.819 0.181 0.704
O2 0.181 0.361 0.296
O3 0.000 0.500 0.000
O4 0.639 0.819 0.296
O5 0.181 0.819 0.296
O6 0.361 0.181 0.704
O7 0.500 0.500 0.000
O8 0.500 0.000 0.000
O9 0.819 0.639 0.704
Ba1 0.333 0.667 0.680
Ba2 0.667 0.333 0.320
Ba3 0.000 0.000 0.000
Te1 0.667 0.333 0.837
Te2 0.333 0.667 0.163
K1 0.000 0.000 0.500

Properties
raw formation energy: -28.55 eV per formula unit
SG: P-3m1
E_tot: -5.75 eV/atom
ρ: 5.7 Mg/m³
total moment: 0.0 μB/cell

# 10
A geometry-optimized KBa2TeO6 structure. Source: Alexandria via LeMat-Bulk, functional PBE.

Cell lengths 6.220, 6.420, 8.831 Å; angles 90.00, 89.66, 90.00 degrees
Sites, in units of the cell vectors:
O1 0.834 0.747 0.942
O2 0.666 0.247 0.558
O3 0.411 0.959 0.710
O4 0.911 0.541 0.210
O5 0.589 0.041 0.290
O6 0.089 0.459 0.790
O7 0.748 0.327 0.964
O8 0.334 0.753 0.442
O9 0.752 0.827 0.536
O10 0.166 0.253 0.058
O11 0.252 0.673 0.036
O12 0.248 0.173 0.464
Ba1 0.987 0.045 0.747
Ba2 0.513 0.545 0.753
Ba3 0.013 0.955 0.253
Ba4 0.487 0.455 0.247
Te1 0.500 0.000 0.500
Te2 0.000 0.500 0.000
K1 0.500 0.000 0.000
K2 0.000 0.500 0.500

Properties
raw formation energy: -18.81 eV per formula unit
SG: P2_1/c
E_tot: -5.66 eV/atom
ρ: 5.1 Mg/m³
total moment: 2.2 μB/cell

# 11
A geometry-optimized KBa2TeO structure. Source: Alexandria via LeMat-Bulk, functional PBE.

Cell lengths 5.409, 5.409, 5.424 Å; angles 90.00, 90.00, 90.00 degrees
Sites, in units of the cell vectors:
Ba1 0.000 0.500 0.000
Ba2 0.500 0.000 0.000
K1 0.000 0.000 0.500
O1 0.000 0.000 0.000
Te1 0.500 0.500 0.500

Properties
raw formation energy: -7.53 eV per formula unit
SG: P4/mmm
E_tot: -4.11 eV/atom
ρ: 4.8 Mg/m³
total moment: 0.0 μB/cell

# 12
A geometry-optimized K2BaThO4 structure. Source: Alexandria via LeMat-Bulk, functional PBE.

Cell lengths 3.787, 6.750, 6.759 Å; angles 69.30, 90.00, 90.00 degrees
Sites, in units of the cell vectors:
O1 0.000 0.308 0.284
O2 0.500 0.305 0.706
O3 0.500 0.695 0.294
O4 0.000 0.692 0.716
Ba1 0.500 0.500 0.000
K1 0.000 0.000 0.000
K2 0.500 0.000 0.500
Th1 0.000 0.500 0.500

Properties
raw formation energy: -20.36 eV per formula unit
SG: P2/m
E_tot: -6.47 eV/atom
ρ: 5.3 Mg/m³
total moment: 0.0 μB/cell

# 13
A geometry-optimized KBaTiO4 structure. Source: Alexandria via LeMat-Bulk, functional PBE.

Cell lengths 5.674, 5.726, 7.317 Å; angles 90.00, 112.81, 90.00 degrees
Sites, in units of the cell vectors:
Ti1 0.757 0.250 0.514
Ti2 0.243 0.750 0.486
K1 0.400 0.250 0.799
K2 0.600 0.750 0.201
Ba1 0.106 0.250 0.212
Ba2 0.894 0.750 0.788
O1 0.898 0.250 0.797
O2 0.390 0.750 0.779
O3 0.610 0.250 0.221
O4 0.500 0.000 0.500
O5 0.500 0.500 0.500
O6 0.000 0.000 0.500
O7 0.000 0.500 0.500
O8 0.102 0.750 0.203

Properties
raw formation energy: -16.84 eV per formula unit
SG: Cmcm
E_tot: -6.80 eV/atom
ρ: 4.4 Mg/m³
total moment: 2.0 μB/cell

# 14
A geometry-optimized KBaTlO2 structure. Source: Alexandria via LeMat-Bulk, functional PBE.

Cell lengths 7.345, 7.677, 7.500 Å; angles 67.73, 90.00, 90.00 degrees
Sites, in units of the cell vectors:
Ba1 0.493 0.000 0.250
Ba2 0.507 0.000 0.750
K1 0.770 0.500 0.250
K2 0.230 0.500 0.750
O1 0.695 0.156 0.433
O2 0.305 0.844 0.567
O3 0.695 0.844 0.067
O4 0.305 0.156 0.933
Tl1 0.000 0.000 0.500
Tl2 0.000 0.000 0.000

Properties
raw formation energy: -6.29 eV per formula unit
SG: P2/c
E_tot: -4.32 eV/atom
ρ: 3.5 Mg/m³
total moment: 0.0 μB/cell

# 15
A geometry-optimized K2BaTlO4 structure. Source: Alexandria via LeMat-Bulk, functional PBE.

Cell lengths 7.520, 7.520, 7.899 Å; angles 121.68, 121.68, 84.33 degrees
Sites, in units of the cell vectors:
K1 0.500 0.000 0.500
K2 0.500 0.000 0.000
K3 0.500 0.500 0.000
K4 0.000 0.000 0.500
O1 0.803 0.214 0.009
O2 0.714 0.303 0.509
O3 0.242 0.258 0.006
O4 0.286 0.697 0.491
O5 0.758 0.742 0.506
O6 0.758 0.742 0.994
O7 0.242 0.258 0.494
O8 0.197 0.786 0.991
Ba1 0.000 0.500 0.000
Ba2 0.000 0.500 0.500
Tl1 0.500 0.500 0.500
Tl2 0.000 0.000 0.000

Properties
raw formation energy: -10.38 eV per formula unit
SG: Imma
E_tot: -4.59 eV/atom
ρ: 5.1 Mg/m³
total moment: 2.2 μB/cell

# 16
A geometry-optimized KBa2TlO4 structure. Source: Alexandria via LeMat-Bulk, functional PBE.

Cell lengths 7.612, 7.612, 7.735 Å; angles 120.43, 120.43, 87.01 degrees
Sites, in units of the cell vectors:
O1 0.216 0.806 0.011
O2 0.747 0.751 0.482
O3 0.784 0.194 0.989
O4 0.749 0.753 0.018
O5 0.306 0.716 0.511
O6 0.253 0.249 0.518
O7 0.251 0.247 0.982
O8 0.694 0.284 0.489
Tl1 0.000 0.000 0.000
Tl2 0.500 0.500 0.500
Ba1 0.500 0.000 0.500
Ba2 0.500 0.000 0.000
Ba3 0.000 0.000 0.500
Ba4 0.500 0.500 0.000
K1 0.000 0.500 0.500
K2 0.000 0.500 0.000

Properties
raw formation energy: -13.16 eV per formula unit
SG: C2/c
E_tot: -5.04 eV/atom
ρ: 6.0 Mg/m³
total moment: 0.0 μB/cell

# 17
A geometry-optimized KBa3Tl2O6 structure. Source: Alexandria via LeMat-Bulk, functional PBE.

Cell lengths 6.652, 6.652, 6.932 Å; angles 90.00, 90.00, 120.00 degrees
Sites, in units of the cell vectors:
Ba1 0.000 0.000 0.000
Ba2 0.667 0.333 0.411
Ba3 0.333 0.667 0.589
O1 0.825 0.175 0.720
O2 0.650 0.825 0.280
O3 0.825 0.650 0.720
O4 0.175 0.825 0.280
O5 0.175 0.350 0.280
O6 0.350 0.175 0.720
Tl1 0.333 0.667 0.114
Tl2 0.667 0.333 0.886
K1 0.000 0.000 0.500

Properties
raw formation energy: -17.03 eV per formula unit
SG: P-3m1
E_tot: -4.86 eV/atom
ρ: 6.0 Mg/m³
total moment: 0.8 μB/cell

# 18
A geometry-optimized KBaUO4 structure. Source: Alexandria via LeMat-Bulk, functional PBE.

Cell lengths 4.418, 4.418, 7.411 Å; angles 107.34, 107.34, 90.00 degrees
Sites, in units of the cell vectors:
O1 0.151 0.151 0.301
O2 0.006 0.506 0.013
O3 0.506 0.006 0.013
O4 0.843 0.843 0.686
K1 0.350 0.350 0.700
U1 0.996 0.996 0.991
Ba1 0.648 0.648 0.296

Properties
raw formation energy: -20.03 eV per formula unit
SG: I4mm
E_tot: -7.74 eV/atom
ρ: 6.1 Mg/m³
total moment: 1.0 μB/cell

# 19
A geometry-optimized KBa2UO5 structure. Source: Alexandria via LeMat-Bulk, functional PBE.

Cell lengths 4.410, 6.612, 7.411 Å; angles 116.50, 107.31, 90.00 degrees
Sites, in units of the cell vectors:
Ba1 0.224 0.224 0.448
Ba2 0.776 0.776 0.552
K1 0.000 0.500 0.000
O1 0.629 0.912 0.257
O2 0.629 0.345 0.257
O3 0.000 0.000 0.000
O4 0.371 0.655 0.743
O5 0.371 0.088 0.743
U1 0.500 0.000 0.000

Properties
raw formation energy: -24.93 eV per formula unit
SG: Immm
E_tot: -7.33 eV/atom
ρ: 5.8 Mg/m³
total moment: 1.0 μB/cell

# 20
A geometry-optimized KBa3U2O9 structure. Source: Alexandria via LeMat-Bulk, functional PBE.

Cell lengths 6.349, 6.349, 7.775 Å; angles 90.00, 90.00, 120.00 degrees
Sites, in units of the cell vectors:
O1 0.183 0.366 0.312
O2 0.500 0.500 0.000
O3 0.183 0.817 0.312
O4 0.500 0.000 0.000
O5 0.000 0.500 0.000
O6 0.366 0.183 0.688
O7 0.817 0.183 0.688
O8 0.817 0.634 0.688
O9 0.634 0.817 0.312
Ba1 0.333 0.667 0.637
Ba2 0.667 0.333 0.363
Ba3 0.000 0.000 0.000
U1 0.333 0.667 0.158
U2 0.667 0.333 0.842
K1 0.000 0.000 0.500

Properties
raw formation energy: -43.64 eV per formula unit
SG: P-3m1
E_tot: -7.85 eV/atom
ρ: 6.6 Mg/m³
total moment: 1.0 μB/cell